The following is a DFT calculation (GGA-PBE) of Sr4PdBr6 after structural relaxation.

abc: 10.3096 10.3096 7.4440
angles: 90.00 90.00 90.00
With the nearest neighbours (Å) after each atom.
Element x y z (fractional)
Sr 0.0052 0.2500 0.0594  1 Pd 2.99, 6 Br 3.10-3.29
Sr 0.2500 0.0052 0.5594  1 Pd 2.99, 6 Br 3.10-3.29
Sr 0.2500 0.4948 0.5594  1 Pd 2.99, 6 Br 3.10-3.29
Sr 0.4948 0.2500 0.0594  1 Pd 2.99, 6 Br 3.10-3.29
Sr 0.5052 0.7500 0.9406  1 Pd 2.99, 6 Br 3.10-3.29
Sr 0.7500 0.5052 0.4406  1 Pd 2.99, 6 Br 3.10-3.29
Sr 0.7500 0.9948 0.4406  1 Pd 2.99, 6 Br 3.10-3.29
Sr 0.9948 0.7500 0.9406  1 Pd 2.99, 6 Br 3.10-3.29
Pd 0.2500 0.7500 0.7500  4 Sr 2.99
Pd 0.7500 0.2500 0.2500  4 Sr 2.99
Br 0.0365 0.5365 0.2500  4 Sr 3.21-3.29
Br 0.0365 0.9635 0.2500  4 Sr 3.21-3.29
Br 0.2500 0.2500 0.3176  4 Sr 3.10-3.17
Br 0.2500 0.2500 0.8176  4 Sr 3.10-3.17
Br 0.4635 0.5365 0.2500  4 Sr 3.21-3.29
Br 0.4635 0.9635 0.2500  4 Sr 3.21-3.29
Br 0.5365 0.0365 0.7500  4 Sr 3.21-3.29
Br 0.5365 0.4635 0.7500  4 Sr 3.21-3.29
Br 0.7500 0.7500 0.1824  4 Sr 3.10-3.17
Br 0.7500 0.7500 0.6824  4 Sr 3.10-3.17
Br 0.9635 0.0365 0.7500  4 Sr 3.21-3.29
Br 0.9635 0.4635 0.7500  4 Sr 3.21-3.29

As for the total magnetic moment: 0.0 μB/cell. As for the calculated total energy: -82.6 eV for the cell shown. For the density of states at the Fermi level, the calculation gives 0.000 states/eV per atom. Its crystal system is tetragonal. The value obtained for the formation energy (no corrections) is -19.32 eV per formula unit. Its space group is P4_2/nmc.